[1]
A plane-wave DFT calculation with GGA-PBEsol was carried out for a relaxed TeSe2 crystal.

Computed properties:
- distance to the lowest polymorph of the same formula (kJ/mol of formula units) = 0
- ΔE_f (raw) (eV/atom) = -0.030

Cell: 3.935 3.935 5.834 Å, 90.00 90.00 120.00°
Fractional positions:
Te1 0.000 0.000 0.000
Se1 0.333 0.667 0.713
Se2 0.667 0.333 0.287

[2]
A plane-wave DFT calculation with GGA-PBEsol was carried out for a relaxed Ni3W crystal.

Computed properties:
- DFT formation energy (eV per atom) = 0.108

Cell: 3.598 3.598 3.598 Å, 90.00 90.00 90.00°
Fractional positions:
Ni1 0.000 0.000 0.500
Ni2 0.000 0.500 0.000
Ni3 0.500 0.000 0.000
W1 0.500 0.500 0.500

[3]
A plane-wave DFT calculation with GGA-PBEsol was carried out for a relaxed Ce3Mg2InAu3 crystal.

Computed properties:
- DFT formation energy (eV per atom) = -0.550

Cell: 4.312 7.391 7.391 Å, 119.36 90.00 90.00°
Fractional positions:
Ce1 0.000 0.000 0.000
Ce2 0.000 0.157 0.571
Ce3 0.000 0.571 0.157
Mg1 0.500 0.574 0.816
Mg2 0.500 0.816 0.574
In1 0.500 0.332 0.332
Au1 0.000 0.590 0.590
Au2 0.500 0.237 0.898
Au3 0.500 0.898 0.237

[4]
A plane-wave DFT calculation with GGA-PBEsol was carried out for a relaxed MgNiBi2 crystal.

Computed properties:
- DFT formation energy (eV per atom) = -0.007

Cell: 8.914 8.914 4.961 Å, 90.00 90.00 90.00°
Fractional positions:
Mg1 0.000 0.000 0.000
Mg2 0.000 0.500 0.250
Mg3 0.500 0.000 0.750
Mg4 0.500 0.500 0.500
Ni1 0.000 0.000 0.500
Ni2 0.000 0.500 0.750
Ni3 0.500 0.000 0.250
Ni4 0.500 0.500 0.000
Bi1 0.133 0.250 0.625
Bi2 0.250 0.633 0.875
Bi3 0.250 0.867 0.375
Bi4 0.367 0.250 0.125
Bi5 0.633 0.750 0.125
Bi6 0.750 0.133 0.375
Bi7 0.750 0.367 0.875
Bi8 0.867 0.750 0.625

[5]
A plane-wave DFT calculation with GGA-PBEsol was carried out for a relaxed K3CeAs2O8 crystal.

Computed properties:
- ΔE_f (raw) (eV/atom) = -1.967

Cell: 7.586 5.902 9.898 Å, 90.00 91.42 90.00°
Fractional positions:
K1 0.008 0.250 0.193
K2 0.137 0.750 0.411
K3 0.306 0.250 0.915
K4 0.694 0.750 0.085
K5 0.863 0.250 0.589
K6 0.992 0.750 0.807
Ce1 0.490 0.750 0.712
Ce2 0.510 0.250 0.288
As1 0.258 0.750 0.085
As2 0.309 0.250 0.572
As3 0.691 0.750 0.428
As4 0.742 0.250 0.915
O1 0.037 0.750 0.105
O2 0.208 0.250 0.415
O3 0.251 0.014 0.663
O4 0.251 0.486 0.663
O5 0.316 0.750 0.919
O6 0.348 0.513 0.161
O7 0.348 0.987 0.161
O8 0.470 0.750 0.459
O9 0.530 0.250 0.541
O10 0.652 0.013 0.839
O11 0.652 0.487 0.839
O12 0.684 0.250 0.081
O13 0.749 0.514 0.337
O14 0.749 0.986 0.337
O15 0.792 0.750 0.585
O16 0.963 0.250 0.895

[6]
A plane-wave DFT calculation with GGA-PBEsol was carried out for a relaxed HoP2Pd2 crystal.

Computed properties:
- DFT formation energy (eV per atom) = -0.999

Cell: 4.028 4.028 9.779 Å, 90.00 90.00 90.00°
Fractional positions:
Ho1 0.000 0.000 0.000
Ho2 0.500 0.500 0.500
P1 0.000 0.000 0.389
P2 0.000 0.000 0.611
P3 0.500 0.500 0.111
P4 0.500 0.500 0.889
Pd1 0.000 0.500 0.250
Pd2 0.000 0.500 0.750
Pd3 0.500 0.000 0.250
Pd4 0.500 0.000 0.750

[7]
A plane-wave DFT calculation with GGA-PBEsol was carried out for a relaxed LiSiAs2 crystal.

Computed properties:
- ΔE_f (raw) (eV/atom) = -0.049

Cell: 10.533 3.507 3.970 Å, 90.00 106.36 90.00°
Fractional positions:
Li1 0.000 0.000 0.000
Li2 0.500 0.500 0.000
Si1 0.251 0.000 0.877
Si2 0.751 0.500 0.877
As1 0.078 0.500 0.551
As2 0.298 0.500 0.425
As3 0.578 0.000 0.551
As4 0.798 0.000 0.425

[8]
A plane-wave DFT calculation with GGA-PBEsol was carried out for a relaxed La3Nd crystal.

Computed properties:
- DFT formation energy (eV per atom) = 0.009

Cell: 5.127 5.127 10.208 Å, 90.00 90.00 90.00°
Fractional positions:
La1 0.000 0.000 0.000
La2 0.000 0.500 0.250
La3 0.000 0.500 0.750
La4 0.500 0.000 0.250
La5 0.500 0.000 0.750
La6 0.500 0.500 0.500
Nd1 0.000 0.000 0.500
Nd2 0.500 0.500 0.000

[9]
A plane-wave DFT calculation with GGA-PBEsol was carried out for a relaxed Mg2BiO crystal.

Computed properties:
- ΔE_f (raw) (eV/atom) = -0.207

Cell: 6.709 6.709 6.709 Å, 90.00 90.00 90.00°
Fractional positions:
Mg1 0.250 0.250 0.250
Mg2 0.250 0.250 0.750
Mg3 0.250 0.750 0.250
Mg4 0.250 0.750 0.750
Mg5 0.750 0.250 0.250
Mg6 0.750 0.250 0.750
Mg7 0.750 0.750 0.250
Mg8 0.750 0.750 0.750
Bi1 0.000 0.000 0.000
Bi2 0.000 0.500 0.500
Bi3 0.500 0.000 0.500
Bi4 0.500 0.500 0.000
O1 0.000 0.000 0.500
O2 0.000 0.500 0.000
O3 0.500 0.000 0.000
O4 0.500 0.500 0.500

[10]
A plane-wave DFT calculation with GGA-PBEsol was carried out for a relaxed SnSbCl2 crystal.

Computed properties:
- ΔE_f (raw) (eV/atom) = -0.072

Cell: 7.202 7.202 7.202 Å, 90.00 90.00 90.00°
Fractional positions:
Sn1 0.000 0.000 0.000
Sn2 0.000 0.500 0.500
Sn3 0.500 0.000 0.500
Sn4 0.500 0.500 0.000
Sb1 0.000 0.000 0.500
Sb2 0.000 0.500 0.000
Sb3 0.500 0.000 0.000
Sb4 0.500 0.500 0.500
Cl1 0.250 0.250 0.250
Cl2 0.250 0.250 0.750
Cl3 0.250 0.750 0.250
Cl4 0.250 0.750 0.750
Cl5 0.750 0.250 0.250
Cl6 0.750 0.250 0.750
Cl7 0.750 0.750 0.250
Cl8 0.750 0.750 0.750

[11]
A plane-wave DFT calculation with GGA-PBEsol was carried out for a relaxed ReTe2AuN crystal.

Computed properties:
- ΔE_f (raw) (eV/atom) = 0.409

Cell: 5.298 5.298 3.694 Å, 90.00 90.00 90.00°
Fractional positions:
Re1 0.000 0.000 0.000
Te1 0.000 0.500 0.000
Te2 0.500 0.000 0.000
Au1 0.500 0.500 0.500
N1 0.000 0.000 0.500

[12]
A plane-wave DFT calculation with GGA-PBEsol was carried out for a relaxed InAgSb2Te crystal.

Computed properties:
- ΔE_f (raw) (eV/atom) = 0.509

Cell: 5.290 5.290 5.500 Å, 90.00 90.00 90.00°
Fractional positions:
In1 0.000 0.000 0.000
Ag1 0.500 0.500 0.500
Sb1 0.000 0.500 0.500
Sb2 0.500 0.000 0.500
Te1 0.500 0.500 0.000

[13]
A plane-wave DFT calculation with GGA-PBEsol was carried out for a relaxed Fe3RuRh crystal.

Computed properties:
- DFT formation energy (eV per atom) = 1.760

Cell: 4.420 4.420 4.420 Å, 90.00 90.00 90.00°
Fractional positions:
Fe1 0.000 0.000 0.500
Fe2 0.000 0.500 0.000
Fe3 0.500 0.000 0.000
Ru1 0.500 0.500 0.500
Rh1 0.000 0.000 0.000

[14]
A plane-wave DFT calculation with GGA-PBEsol was carried out for a relaxed NbZnSn2Ru crystal.

Computed properties:
- DFT formation energy (eV per atom) = 0.696

Cell: 4.991 4.991 4.804 Å, 90.00 90.00 90.00°
Fractional positions:
Nb1 0.000 0.000 0.000
Zn1 0.500 0.500 0.000
Sn1 0.000 0.500 0.500
Sn2 0.500 0.000 0.500
Ru1 0.000 0.000 0.500

[15]
A plane-wave DFT calculation with GGA-PBEsol was carried out for a relaxed Sc3ZnRe crystal.

Computed properties:
- DFT formation energy (eV per atom) = 0.969

Cell: 4.759 4.759 4.759 Å, 90.00 90.00 90.00°
Fractional positions:
Sc1 0.000 0.000 0.500
Sc2 0.000 0.500 0.000
Sc3 0.500 0.000 0.000
Zn1 0.000 0.000 0.000
Re1 0.500 0.500 0.500

[16]
A plane-wave DFT calculation with GGA-PBEsol was carried out for a relaxed LaCdTe2 crystal.

Computed properties:
- ΔE_f (raw) (eV/atom) = -0.860

Cell: 4.316 4.316 23.138 Å, 90.00 90.00 120.00°
Fractional positions:
La1 0.000 0.000 0.000
La2 0.333 0.667 0.667
La3 0.667 0.333 0.333
Cd1 0.000 0.000 0.500
Cd2 0.333 0.667 0.167
Cd3 0.667 0.333 0.833
Te1 0.000 0.000 0.246
Te2 0.000 0.000 0.754
Te3 0.333 0.667 0.421
Te4 0.333 0.667 0.913
Te5 0.667 0.333 0.087
Te6 0.667 0.333 0.579

[17]
A plane-wave DFT calculation with GGA-PBEsol was carried out for a relaxed Tl3PdC crystal.

Computed properties:
- DFT formation energy (eV per atom) = 1.050

Cell: 4.732 4.732 4.732 Å, 90.00 90.00 90.00°
Fractional positions:
Tl1 0.000 0.000 0.500
Tl2 0.000 0.500 0.000
Tl3 0.500 0.000 0.000
Pd1 0.500 0.500 0.500
C1 0.000 0.000 0.000

[18]
A plane-wave DFT calculation with GGA-PBEsol was carried out for a relaxed AlCrHRh2 crystal.

Cell: 4.559 4.559 3.005 Å, 90.00 90.00 90.00°
Fractional positions:
Al1 0.000 0.000 0.000
Cr1 0.500 0.500 0.500
H1 0.500 0.500 0.000
Rh1 0.000 0.500 0.500
Rh2 0.500 0.000 0.500

[19]
A plane-wave DFT calculation with GGA-PBEsol was carried out for a relaxed ReAg2Hg crystal.

Computed properties:
- DFT formation energy (eV per atom) = 0.629

Cell: 2.721 4.225 5.826 Å, 90.00 90.00 90.00°
Fractional positions:
Re1 0.000 0.000 0.000
Ag1 0.000 0.000 0.485
Ag2 0.500 0.500 0.238
Hg1 0.500 0.500 0.752

[20]
A plane-wave DFT calculation with GGA-PBEsol was carried out for a relaxed BeZnNiW2 crystal.

Computed properties:
- DFT formation energy (eV per atom) = 2.044

Cell: 4.511 4.511 4.114 Å, 90.00 90.00 90.00°
Fractional positions:
Be1 0.000 0.000 0.000
Zn1 0.500 0.500 0.500
Ni1 0.500 0.500 0.000
W1 0.000 0.500 0.500
W2 0.500 0.000 0.500

no.,DFT total energy (eV per atom)
1,-3.7721
2,-7.9618
3,-4.7692
4,-4.1187
5,-6.4099
6,-6.6894
7,-4.5304
8,-5.2924
9,-3.4488
10,-3.2805
11,-6.1580
12,-3.2778
13,-7.2806
14,-5.5226
15,-5.9764
16,-4.2590
17,-3.6489
18,-6.4404
19,-4.5018
20,-5.8265